Below is a relaxed TmWC2 crystal, with properties calculated at the GGA-PBE level.

Values from the calculation:
The value obtained for the formation energy from the elements is -1.3 eV per formula unit. The energy above the lowest structure with this stoichiometry is 0 meV/atom. The value obtained for the magnetic moment is 0.000 μB per atom. As for the density of states at the Fermi level: 1.352 states/eV/f.u.

Unit cell a=5.682 b=3.336 c=10.760 alpha=90.00 beta=90.00 gamma=90.00
Space group Pnma (No. 62)
Asymmetric unit:
Tm 0.086 0.250 0.137 x4
W 0.099 0.750 0.390 x4
C 0.159 0.250 0.753 x4
C 0.229 0.250 0.487 x4